No. 1
SbPbBr | Alexandria | GGA-PBEsol | relaxed; formation energy from raw total energies = 0.395 eV/atom; M_tot = 0.00 μB per cell; excess energy over the best structure of this formula in the dataset = 0.497 eV per atom
1.0
5.1188 0.0000 0.0000
2.5594 4.4330 0.0000
2.5594 1.4777 4.1795
Pb Br Sb
1 1 1
Direct
0.0000 0.0000 0.0000
0.2500 0.2500 0.2500
0.5000 0.5000 0.5000

---

No. 2
SbPbBr2 | Alexandria | GGA-PBEsol | relaxed; formation energy from raw total energies = -0.136 eV/atom; M_tot = 0.00 μB per cell; excess energy over the best structure of this formula in the dataset = 0.013 eV per atom
1.0
6.7655 0.0000 0.0000
3.3827 5.9058 0.0000
3.3827 0.0000 5.9058
Pb Sb Br
2 2 4
Direct
0.0000 0.0000 0.0000
0.7500 0.5000 0.5000
0.5000 0.0000 0.0000
0.2500 0.5000 0.5000
0.1321 0.9929 0.4929
0.8750 0.5071 0.9929
0.6179 0.0071 0.5071
0.3750 0.4929 0.0071

---

No. 3
Sb2PbBr | Alexandria | GGA-PBEsol | relaxed; formation energy from raw total energies = 0.105 eV/atom; M_tot = 0.00 μB per cell; excess energy over the best structure of this formula in the dataset = 0.216 eV per atom
1.0
-1.4311 -4.3093 2.7275
2.4579 -4.6133 -0.8558
3.2383 -1.9989 3.6844
Sb Br Pb
2 1 1
Direct
0.7500 0.7500 0.7500
0.2500 0.2500 0.2500
0.0000 0.0000 0.0000
0.5000 0.5000 0.5000

---

No. 4
Sb2Pb2Br | Alexandria | GGA-PBEsol | relaxed; formation energy from raw total energies = -0.172 eV/atom; M_tot = 0.00 μB per cell
1.0
4.5096 0.0000 0.0000
0.0000 4.5096 0.0000
-2.2548 -2.2548 7.7653
Sb Pb Br
2 2 1
Direct
0.7500 0.2500 0.5000
0.2500 0.7500 0.5000
0.3913 0.3913 0.7825
0.6087 0.6087 0.2175
0.0000 0.0000 0.0000

---

No. 5
Sb2PbBr | Alexandria | GGA-PBEsol | relaxed; formation energy from raw total energies = 0.036 eV/atom; M_tot = 0.00 μB per cell; excess energy over the best structure of this formula in the dataset = 0.147 eV per atom
1.0
-1.3412 -2.7065 1.2924
5.1559 -2.8783 -0.6770
-0.9492 3.1275 5.5647
Sb Br Pb
2 1 1
Direct
0.0000 0.5000 0.5000
0.0000 0.0000 0.5000
0.5000 0.0000 0.0000
0.5000 0.5000 0.0000

---

No. 6
SbTe2PbBr | Alexandria | GGA-PBEsol | relaxed; formation energy from raw total energies = 0.733 eV/atom; M_tot = 0.00 μB per cell
1.0
5.6938 0.0000 0.0000
0.0000 5.6938 0.0000
0.0000 0.0000 5.8446
Te Sb Br Pb
2 1 1 1
Direct
0.5000 0.0000 0.0000
0.0000 0.5000 0.0000
0.0000 0.0000 0.5000
0.5000 0.5000 0.5000
0.0000 0.0000 0.0000